Record 1
Computed, not measured: an optimized crystal structure of LaEr3Bi4 at the PBE level of DFT.

Cell: 7.817 7.817 4.523 Å, 90.00 90.00 109.49°
Element x y z (fractional)
La (0.000, 0.000, 0.000)
Er (0.000, 0.500, 0.500)
Er (0.500, 0.000, 0.500)
Er (0.500, 0.500, 0.000)
Bi (0.255, 0.745, 0.000)
Bi (0.260, 0.260, 0.500)
Bi (0.740, 0.740, 0.500)
Bi (0.745, 0.255, 0.000)

- magnetic moment (μB per formula unit) = 0.0
- N(E_F) (states/eV/atom) = 0.148
- energy of formation from the pure elements (meV/atom) = -863
- total DFT energy (no corrections) (eV for the cell shown) = -41.04

=====

Record 2
Computed, not measured: an optimized crystal structure of La2ErBi3 at the PBE level of DFT.

Cell: 8.012 8.012 7.997 Å, 99.63 99.63 120.01°
Element x y z (fractional)
La (0.000, 0.000, 0.000)
La (0.164, 0.836, 0.500)
La (0.500, 0.500, 0.500)
La (0.836, 0.164, 0.500)
Er (0.332, 0.668, 0.000)
Er (0.668, 0.332, 0.000)
Bi (0.081, 0.422, 0.241)
Bi (0.263, 0.263, 0.762)
Bi (0.422, 0.081, 0.241)
Bi (0.578, 0.919, 0.759)
Bi (0.737, 0.737, 0.238)
Bi (0.919, 0.578, 0.759)

- magnetic moment (μB per formula unit) = 0.0
- N(E_F) (states/eV/atom) = 0.171
- energy of formation from the pure elements (meV/atom) = -966
- total DFT energy (no corrections) (eV for the cell shown) = -63.71

=====

Record 3
Computed, not measured: an optimized crystal structure of LaErBi at the PBE level of DFT.

Cell: 9.900 9.900 9.900 Å, 159.37 144.16 41.71°
Element x y z (fractional)
La (0.165, 0.165, 0.000)
La (0.835, 0.835, 0.000)
Er (0.246, 0.500, 0.746)
Er (0.754, 0.500, 0.254)
Bi (0.345, 0.345, 0.000)
Bi (0.655, 0.655, 0.000)

- magnetic moment (μB per formula unit) = 0.2
- N(E_F) (states/eV/atom) = 0.995
- energy of formation from the pure elements (meV/atom) = -335
- total DFT energy (no corrections) (eV for the cell shown) = -28.75

=====

> Among the records above, which one has the highest N(E_F)?

LaErBi

=====

Please write out number 3 again, unchanged.
Computed, not measured: an optimized crystal structure of LaErBi at the PBE level of DFT.

Cell: 9.900 9.900 9.900 Å, 159.37 144.16 41.71°
Element x y z (fractional)
La (0.165, 0.165, 0.000)
La (0.835, 0.835, 0.000)
Er (0.246, 0.500, 0.746)
Er (0.754, 0.500, 0.254)
Bi (0.345, 0.345, 0.000)
Bi (0.655, 0.655, 0.000)

- magnetic moment (μB per formula unit) = 0.2
- N(E_F) (states/eV/atom) = 0.995
- energy of formation from the pure elements (meV/atom) = -335
- total DFT energy (no corrections) (eV for the cell shown) = -28.75

=====

What did the first record say?
Computed, not measured: an optimized crystal structure of LaEr3Bi4 at the PBE level of DFT.

Cell: 7.817 7.817 4.523 Å, 90.00 90.00 109.49°
Element x y z (fractional)
La (0.000, 0.000, 0.000)
Er (0.000, 0.500, 0.500)
Er (0.500, 0.000, 0.500)
Er (0.500, 0.500, 0.000)
Bi (0.255, 0.745, 0.000)
Bi (0.260, 0.260, 0.500)
Bi (0.740, 0.740, 0.500)
Bi (0.745, 0.255, 0.000)

- magnetic moment (μB per formula unit) = 0.0
- N(E_F) (states/eV/atom) = 0.148
- energy of formation from the pure elements (meV/atom) = -863
- total DFT energy (no corrections) (eV for the cell shown) = -41.04

=====

> Which value of total DFT energy (no corrections) does entry 2 give?

-63.71 eV for the cell shown